9
Lattice="5.623 0.000 0.000 2.812 7.087 -0.401 2.812 2.557 9.622" Properties=species:S:1:pos:R:3 comment="CsPa2Se6 PBE relaxed" crystal_system=monoclinic total_energy_ev_per_atom=-5.661 dos_ef_per_ev_fu=9.12 space_group="No. 12" pbc="T T T"
Se 8.435 7.136 8.787
Se 5.623 3.205 2.857
Pa 5.623 7.624 8.686
Se 8.435 6.625 1.324
Pa 5.623 2.020 0.535
Cs 2.812 4.822 4.610
Se 2.812 3.019 7.897
Se 2.812 2.508 0.434
Se 5.623 6.439 6.364